(1)
Here is an optimized crystal structure of ScAlNiPd from Alexandria. Energies are from PBE.

Unit cell a=4.4141 b=4.4141 c=4.4141 alpha=60.00 beta=60.00 gamma=60.00
Fractional coordinates of all 4 atoms:
Sc1 0.0000 0.0000 0.0000
Al1 0.5000 0.5000 0.5000
Ni1 0.2500 0.2500 0.2500
Pd1 0.7500 0.7500 0.7500

Summary:
- Crystal system: cubic
- Size of the total moment: 0.00 μB/f.u.
- Total energy: -0.44253 Ry per atom
- Formation energy: -3.036 eV per formula unit
- Space group: F-43m, No. 216

---

(2)
Here is an optimized crystal structure of Ti2TlHgAs from Alexandria. Energies are from PBE.

Unit cell a=5.2378 b=5.2378 c=5.1957 alpha=90.00 beta=90.00 gamma=90.00
Fractional coordinates of all 5 atoms:
Ti1 0.0000 0.5000 0.0000
Ti2 0.5000 0.0000 0.0000
Tl1 0.0000 0.0000 0.0000
Hg1 0.0000 0.0000 0.5000
As1 0.5000 0.5000 0.5000

Summary:
- Crystal system: tetragonal
- Size of the total moment: 2.30 μB/f.u.
- Total energy: -0.25219 Ry per atom
- Formation energy: 5.952 eV per formula unit
- Space group: P4/mmm, No. 123

---

(3)
Here is an optimized crystal structure of LiGaBi from Alexandria. Energies are from PBE.

Unit cell a=4.9476 b=4.9476 c=3.3616 alpha=90.00 beta=90.00 gamma=120.00
Fractional coordinates of all 3 atoms:
Li1 0.0000 0.0000 0.0000
Ga1 0.3333 0.6667 0.7631
Bi1 0.6667 0.3333 0.4468

Summary:
- Crystal system: trigonal
- Size of the total moment: 0.00 μB/f.u.
- Total energy: -0.22774 Ry per atom
- Formation energy: -0.474 eV per formula unit
- Space group: P3m1, No. 156
- Polymorph energy (0 for the lowest one): 0.00 kcal/mol of atoms

---

(4)
Here is an optimized crystal structure of Tm2ThRh from Alexandria. Energies are from PBE.

Unit cell a=3.4514 b=3.4514 c=8.4821 alpha=90.00 beta=90.00 gamma=90.00
Fractional coordinates of all 4 atoms:
Tm1 0.0000 0.0000 0.1920
Tm2 0.0000 0.0000 0.8080
Th1 0.5000 0.5000 0.5000
Rh1 0.5000 0.5000 0.0000

Summary:
- Crystal system: tetragonal
- Size of the total moment: 0.00 μB/f.u.
- Total energy: -0.46902 Ry per atom
- Formation energy: -1.811 eV per formula unit
- Space group: P4/mmm, No. 123
- Polymorph energy (0 for the lowest one): 1.78 kcal/mol of atoms

---

We obtain N(E_F) values of 0.746; 1.296; 0.268; 0.981 states/eV/atom for the records listed above, in that order.